[1]
Sn2BiH2 (PBE, optimized geometry); symmetry = C2/m, No. 12; total energy = -3.566 eV/atom
1.0
5.368 0.000 1.844
2.839 2.782 0.471
0.336 -1.695 7.757
H Sn Bi
2 2 1
Direct
0.437 0.630 0.495
0.563 0.370 0.505
0.258 0.245 0.240
0.742 0.755 0.760
0.000 0.000 0.000

=====

[2]
SnBi3H (PBE, optimized geometry); polymorph energy (0 for the lowest one) = 453 kJ/mol of formula units; symmetry = Pm-3m, No. 221
1.0
-5.699 -1.402 -0.529
1.078 -2.394 -5.276
1.040 -5.199 2.571
Bi H Sn
3 1 1
Direct
0.000 0.500 0.000
0.000 0.000 0.500
0.500 0.000 0.000
0.500 0.500 0.500
0.000 0.000 0.000

=====

[3]
SrSn2BiH (PBE, optimized geometry); symmetry = P4/mmm, No. 123; total energy = -3.559 eV/atom
1.0
-0.018 -0.095 4.968
-0.683 -4.921 -0.097
5.003 -0.694 0.005
Bi Sn H Sr
1 2 1 1
Direct
0.500 0.500 0.500
0.500 0.000 0.000
0.000 0.500 0.000
0.000 0.000 0.000
0.000 0.000 0.500

=====

[4]
TcSn2BiH (PBE, optimized geometry); symmetry = P4/mmm, No. 123; total energy = -4.635 eV/atom
1.0
5.148 0.000 0.000
0.000 3.680 0.000
0.000 0.000 5.148
Sn H Tc Bi
2 1 1 1
Direct
0.000 0.000 0.500
0.500 0.000 0.000
0.000 0.000 0.000
0.000 0.500 0.000
0.500 0.500 0.500

=====

[5]
Ti7Sn2BiH2 (PBE, optimized geometry); symmetry = I4/mmm, No. 139; total energy = -6.464 eV/atom
1.0
-2.934 -1.964 1.937
1.823 -3.503 -0.790
5.538 -1.847 10.703
Ti Sn H Bi
7 2 2 1
Direct
0.405 0.905 0.191
0.595 0.095 0.809
0.302 0.302 0.397
0.905 0.405 0.191
0.095 0.595 0.809
0.698 0.698 0.603
0.500 0.500 0.000
0.817 0.817 0.366
0.183 0.183 0.634
0.415 0.415 0.169
0.585 0.585 0.831
0.000 0.000 0.000

=====

[6]
Ti4SnBiH (PBE, optimized geometry); symmetry = Cmcm, No. 63; total energy = -6.419 eV/atom
1.0
-5.193 0.367 -2.242
-0.962 -5.433 1.339
-0.093 1.913 7.695
Ti Bi Sn H
8 2 2 2
Direct
0.000 0.500 0.500
0.418 0.750 0.836
0.500 0.500 0.500
0.000 0.000 0.500
0.911 0.250 0.822
0.582 0.250 0.164
0.089 0.750 0.178
0.500 0.000 0.500
0.895 0.750 0.789
0.105 0.250 0.211
0.391 0.250 0.783
0.609 0.750 0.217
0.223 0.750 0.446
0.777 0.250 0.554

=====

[7]
TlSn2BiH (PBE, optimized geometry); symmetry = P4/mmm, No. 123; total energy = -3.285 eV/atom
1.0
-2.923 3.218 2.092
-0.244 -2.779 3.936
4.194 2.495 2.022
Tl Bi H Sn
1 1 1 2
Direct
0.000 0.000 0.500
0.500 0.500 0.500
0.000 0.000 0.000
0.500 0.000 0.000
0.000 0.500 0.000

=====

[8]
ZnSnBi2H (PBE, optimized geometry); symmetry = P4/mmm, No. 123; total energy = -3.113 eV/atom
1.0
5.887 0.000 0.000
0.000 5.887 0.000
0.000 0.000 3.390
Bi H Sn Zn
2 1 1 1
Direct
0.500 0.000 0.000
0.000 0.500 0.000
0.000 0.000 0.500
0.500 0.500 0.500
0.000 0.000 0.000

=====

[9]
Sr2BiH2 (PBE, optimized geometry); polymorph energy (0 for the lowest one) = 74 kJ/mol of formula units; symmetry = P4/mmm, No. 123
1.0
3.930 0.000 0.000
0.000 3.930 0.000
0.000 0.000 7.708
Sr H Bi
2 2 1
Direct
0.500 0.500 0.289
0.500 0.500 0.711
0.500 0.000 0.500
0.000 0.500 0.500
0.000 0.000 0.000

=====

[10]
SrBiH (PBE, optimized geometry); polymorph energy (0 for the lowest one) = 36 kJ/mol of formula units; symmetry = I4/mmm, No. 139
1.0
-1.472 -3.495 -2.341
-0.614 -2.275 3.782
-6.971 5.911 -0.201
Bi Sr H
2 2 2
Direct
0.000 0.500 0.000
0.500 0.000 0.000
0.343 0.343 0.686
0.657 0.657 0.314
0.799 0.799 0.599
0.201 0.201 0.401

=====

[11]
SrBiH (PBE, optimized geometry); polymorph energy (0 for the lowest one) = 14 kJ/mol of formula units; symmetry = Cmcm, No. 63
1.0
-1.518 -6.569 5.575
-1.206 -2.504 -3.279
8.410 -2.771 -0.976
Sr Bi H
4 4 4
Direct
0.000 0.750 0.250
0.000 0.250 0.750
0.500 0.250 0.750
0.500 0.750 0.250
0.750 0.250 0.059
0.250 0.250 0.441
0.250 0.750 0.941
0.750 0.750 0.559
0.750 0.750 0.104
0.250 0.250 0.896
0.250 0.750 0.396
0.750 0.250 0.604

=====

[12]
SrBiH (PBE, optimized geometry); polymorph energy (0 for the lowest one) = 14 kJ/mol of formula units; symmetry = Pnma, No. 62
1.0
8.256 0.000 0.000
0.000 8.821 0.000
0.000 0.000 4.884
H Bi Sr
4 4 4
Direct
0.479 0.250 0.762
0.979 0.250 0.738
0.521 0.750 0.238
0.021 0.750 0.262
0.175 0.750 0.548
0.325 0.250 0.048
0.675 0.750 0.952
0.825 0.250 0.452
0.000 0.000 0.000
0.000 0.500 0.000
0.500 0.000 0.500
0.500 0.500 0.500

=====

Number 1: N(E_F) 1.28 states/eV/cell. Number 2: N(E_F) 4.44 states/eV/cell. Number 3: N(E_F) 2.45 states/eV/cell. Number 4: N(E_F) 3.60 states/eV/cell. Number 5: N(E_F) 11.20 states/eV/cell. Number 6: N(E_F) 12.73 states/eV/cell. Number 7: N(E_F) 2.55 states/eV/cell. Number 8: N(E_F) 2.31 states/eV/cell. Number 9: N(E_F) 1.17 states/eV/cell. Number 10: N(E_F) 2.59 states/eV/cell. Number 11: N(E_F) 0.51 states/eV/cell. Number 12: N(E_F) 0.00 states/eV/cell.